1.
Compound: KBi2Sb2
Source: Alexandria via LeMat-Bulk
Functional: PBE
Structure: relaxed

The crystal system is tetragonal. The energy relative to the lowest polymorph listed for this composition is 9.4 kJ/mol of atoms.

Unit cell a=8.426 b=8.426 c=8.426 alpha=146.88 beta=146.88 gamma=47.54
Sites, in units of the cell vectors:
K (0.000, 0.000, 0.000)
Bi (0.250, 0.750, 0.500)
Bi (0.750, 0.250, 0.500)
Sb (0.405, 0.405, 0.000)
Sb (0.595, 0.595, 0.000)


2.
Compound: KBiSb
Source: Alexandria via LeMat-Bulk
Functional: PBE
Structure: relaxed

The crystal system is hexagonal. The energy relative to the lowest polymorph listed for this composition is 2.6 kJ/mol of atoms.

Unit cell a=5.283 b=5.283 c=5.091 alpha=90.00 beta=90.00 gamma=120.00
Sites, in units of the cell vectors:
K (0.000, 0.000, 0.000)
Bi (0.333, 0.667, 0.500)
Sb (0.667, 0.333, 0.500)


3.
Compound: K2BiSb2
Source: Alexandria via LeMat-Bulk
Functional: PBE
Structure: relaxed

The crystal system is tetragonal. The energy relative to the lowest polymorph listed for this composition is 0.0 kJ/mol of atoms.

Unit cell a=8.175 b=8.175 c=5.502 alpha=90.00 beta=90.00 gamma=90.00
Sites, in units of the cell vectors:
K (0.176, 0.324, 0.000)
K (0.324, 0.824, 0.000)
K (0.676, 0.176, 0.000)
K (0.824, 0.676, 0.000)
Bi (0.000, 0.000, 0.500)
Bi (0.500, 0.500, 0.500)
Sb (0.124, 0.624, 0.500)
Sb (0.376, 0.124, 0.500)
Sb (0.624, 0.876, 0.500)
Sb (0.876, 0.376, 0.500)


| no. | raw formation energy (eV per formula unit) | VASP energy (eV/atom) |
| --- | --- | --- |
| 1 | -0.20 | -3.460 |
| 2 | -0.68 | -3.261 |
| 3 | -1.62 | -3.188 |